Entry from OQMD: a geometry-optimized PtSe2 structure (PBE).

a = 6.274 Å, b = 6.274 Å, c = 6.274 Å
α = 90.00°, β = 90.00°, γ = 90.00°
Space group Fm-3m (No. 225)
Asymmetric unit:
Pt (0.000, 0.000, 0.000) (multiplicity 4)
Se (0.250, 0.250, 0.250) (multiplicity 8)

E, eV per atom: -4.254
Total magnetic moment, μB/f.u.: 0.1

---

Entry from OQMD: a geometry-optimized PtSe2 structure (PBE).

a = 3.6257 Å, b = 3.6257 Å, c = 16.4814 Å
α = 90.00°, β = 90.00°, γ = 120.00°
Space group R3m (No. 160, hexagonal axes)
Asymmetric unit:
Pt (0.0000, 0.0000, 0.0000) (multiplicity 3)
Se (0.0000, 0.0000, 0.2442) (multiplicity 3)
Se (0.0000, 0.0000, 0.4259) (multiplicity 3)

E, eV per atom: -4.334
Total magnetic moment, μB/f.u.: 0.0

---

Copy entry 2 word for word.
Entry from OQMD: a geometry-optimized PtSe2 structure (PBE).

a = 3.6257 Å, b = 3.6257 Å, c = 16.4814 Å
α = 90.00°, β = 90.00°, γ = 120.00°
Space group R3m (No. 160, hexagonal axes)
Asymmetric unit:
Pt (0.0000, 0.0000, 0.0000) (multiplicity 3)
Se (0.0000, 0.0000, 0.2442) (multiplicity 3)
Se (0.0000, 0.0000, 0.4259) (multiplicity 3)

E, eV per atom: -4.334
Total magnetic moment, μB/f.u.: 0.0

---

> Number 1 is which compound?

PtSe2

---

> The lowest total magnetic moment belongs to which entry?

number 2

---

> What is the total magnetic moment in the second record?

0.0 μB/f.u.